1.
# K2CaTlCl5 (GGA-PBE, relaxed)
data_K2CaTlCl5
_cell_length_a 5.2387
_cell_length_b 5.2387
_cell_length_c 11.5013
_cell_angle_alpha 90.00
_cell_angle_beta 90.00
_cell_angle_gamma 90.00
_symmetry_space_group_name_H-M 'P 1'
_symmetry_Int_Tables_number 1
_symmetry_space_group_name_Hall 'P 1'
loop_
_atom_site_label
_atom_site_type_symbol
_atom_site_fract_x
_atom_site_fract_y
_atom_site_fract_z
_atom_site_occupancy
K1 K 0.5000 0.5000 0.2793 1
K2 K 0.5000 0.5000 0.7207 1
Ca1 Ca 0.0000 0.0000 0.5000 1
Tl1 Tl 0.0000 0.0000 0.0000 1
Cl1 Cl 0.0000 0.5000 0.5000 1
Cl2 Cl 0.5000 0.0000 0.5000 1
Cl3 Cl 0.0000 0.0000 0.7372 1
Cl4 Cl 0.0000 0.0000 0.2628 1
Cl5 Cl 0.5000 0.5000 0.0000 1
# raw formation energy = -16.59 eV/f.u.
# volume = 315.6 Å³/cell

---

2.
# La2HoSc (GGA-PBE, relaxed)
data_La2HoSc
_cell_length_a 3.5913
_cell_length_b 3.5913
_cell_length_c 11.5562
_cell_angle_alpha 81.06
_cell_angle_beta 81.06
_cell_angle_gamma 60.00
_symmetry_space_group_name_H-M 'P 1'
_symmetry_Int_Tables_number 1
_symmetry_space_group_name_Hall 'P 1'
loop_
_atom_site_label
_atom_site_type_symbol
_atom_site_fract_x
_atom_site_fract_y
_atom_site_fract_z
_atom_site_occupancy
Sc1 Sc 0.0000 0.0000 0.0000 1
Ho1 Ho 0.5000 0.5000 0.5000 1
La1 La 0.7470 0.7470 0.7591 1
La2 La 0.2530 0.2530 0.2409 1
# volume = 127.0 Å³/cell
# DFT formation energy = 0.192 eV per formula unit

---

3.
# Ca2H2S2O9 (GGA-PBE, relaxed)
data_Ca2H2S2O9
_cell_length_a 7.0480
_cell_length_b 9.5175
_cell_length_c 9.4979
_cell_angle_alpha 79.66
_cell_angle_beta 68.22
_cell_angle_gamma 68.27
_symmetry_space_group_name_H-M 'P 1'
_symmetry_Int_Tables_number 1
_symmetry_space_group_name_Hall 'P 1'
loop_
_atom_site_label
_atom_site_type_symbol
_atom_site_fract_x
_atom_site_fract_y
_atom_site_fract_z
_atom_site_occupancy
Ca1 Ca 0.4540 0.0000 0.0000 1
Ca2 Ca 0.9504 0.5000 0.5000 1
Ca3 Ca 0.9567 0.0566 0.6200 1
Ca4 Ca 0.6333 0.9434 0.3800 1
Ca5 Ca 0.0761 0.4250 0.9072 1
Ca6 Ca 0.4082 0.5750 0.0928 1
H1 H 0.5603 0.4138 0.5259 1
H2 H 0.5000 0.5862 0.4741 1
H3 H 0.9013 0.1586 0.2124 1
H4 H 0.2723 0.8414 0.7876 1
H5 H 0.7466 0.1674 0.1282 1
H6 H 0.0422 0.8326 0.8718 1
S1 S 0.8458 0.6875 0.1374 1
S2 S 0.6707 0.3125 0.8626 1
S3 S 0.7026 0.7529 0.7473 1
S4 S 0.2027 0.2471 0.2527 1
S5 S 0.2065 0.8067 0.3506 1
S6 S 0.3637 0.1933 0.6494 1
O1 O 0.2945 0.1626 0.8183 1
O2 O 0.2755 0.8374 0.1817 1
O3 O 0.8477 0.6804 0.2944 1
O4 O 0.8226 0.3196 0.7056 1
O5 O 0.4460 0.4160 0.8805 1
O6 O 0.7426 0.5840 0.1195 1
O7 O 0.9809 0.9079 0.4230 1
O8 O 0.3118 0.0921 0.5770 1
O9 O 0.7411 0.8914 0.7640 1
O10 O 0.3965 0.1086 0.2360 1
O11 O 0.2550 0.3859 0.2496 1
O12 O 0.8905 0.6141 0.7504 1
O13 O 0.5992 0.1676 0.5816 1
O14 O 0.3485 0.8324 0.4184 1
O15 O 0.0751 0.6375 0.0291 1
O16 O 0.7417 0.3625 0.9709 1
O17 O 0.6816 0.1520 0.8996 1
O18 O 0.7332 0.8480 0.1004 1
O19 O 0.2213 0.6436 0.3754 1
O20 O 0.2402 0.3564 0.6246 1
O21 O 0.1299 0.2513 0.1215 1
O22 O 0.5027 0.7487 0.8785 1
O23 O 0.6675 0.7587 0.6015 1
O24 O 0.0276 0.2413 0.3985 1
O25 O 0.6123 0.5000 0.5000 1
O26 O 0.7946 0.1153 0.2135 1
O27 O 0.1235 0.8847 0.7865 1
# volume = 548.9 Å³/cell
# E_tot = -278.87 eV for the cell shown

---

4.
# LiAcPd (GGA-PBE, relaxed)
data_LiAcPd
_cell_length_a 4.3014
_cell_length_b 4.3014
_cell_length_c 8.7342
_cell_angle_alpha 104.26
_cell_angle_beta 104.26
_cell_angle_gamma 90.00
_symmetry_space_group_name_H-M 'P 1'
_symmetry_Int_Tables_number 1
_symmetry_space_group_name_Hall 'P 1'
loop_
_atom_site_label
_atom_site_type_symbol
_atom_site_fract_x
_atom_site_fract_y
_atom_site_fract_z
_atom_site_occupancy
Li1 Li 0.5000 0.0000 0.0000 1
Li2 Li 0.0000 0.5000 0.0000 1
Ac1 Ac 0.6678 0.6678 0.3356 1
Ac2 Ac 0.3322 0.3322 0.6644 1
Pd1 Pd 0.1283 0.1283 0.2565 1
Pd2 Pd 0.8717 0.8717 0.7435 1
# volume = 151.5 Å³/cell
# DFT formation energy = -1.581 eV per formula unit

---

5.
# Ho4AgRh (GGA-PBE, relaxed)
data_Ho4AgRh
_cell_length_a 4.8825
_cell_length_b 4.8839
_cell_length_c 6.9535
_cell_angle_alpha 89.91
_cell_angle_beta 89.95
_cell_angle_gamma 90.00
_symmetry_space_group_name_H-M 'P 1'
_symmetry_Int_Tables_number 1
_symmetry_space_group_name_Hall 'P 1'
loop_
_atom_site_label
_atom_site_type_symbol
_atom_site_fract_x
_atom_site_fract_y
_atom_site_fract_z
_atom_site_occupancy
Ho1 Ho 0.5010 0.9967 0.2621 1
Ho2 Ho 0.5016 0.9978 0.7341 1
Ho3 Ho 0.0016 0.4978 0.7341 1
Ho4 Ho 0.0010 0.4967 0.2622 1
Ag1 Ag 0.5013 0.4973 0.9982 1
Rh1 Rh 0.0013 0.9973 0.4981 1
# volume = 165.8 Å³/cell
# DFT formation energy = -1.667 eV per formula unit

---

6.
# Tb2MgPdO5 (GGA-PBE, relaxed)
data_Tb2MgPdO5
_cell_length_a 5.7651
_cell_length_b 6.4645
_cell_length_c 6.4645
_cell_angle_alpha 90.00
_cell_angle_beta 90.00
_cell_angle_gamma 90.00
_symmetry_space_group_name_H-M 'P 1'
_symmetry_Int_Tables_number 1
_symmetry_space_group_name_Hall 'P 1'
loop_
_atom_site_label
_atom_site_type_symbol
_atom_site_fract_x
_atom_site_fract_y
_atom_site_fract_z
_atom_site_occupancy
Tb1 Tb 0.5000 0.6717 0.1717 1
Tb2 Tb 0.5000 0.1717 0.3283 1
Tb3 Tb 0.5000 0.8283 0.6717 1
Tb4 Tb 0.5000 0.3283 0.8283 1
Mg1 Mg 0.0000 0.5000 0.5000 1
Mg2 Mg 0.0000 0.0000 0.0000 1
Pd1 Pd 0.0000 0.0000 0.5000 1
Pd2 Pd 0.0000 0.5000 0.0000 1
O1 O 0.5000 0.5000 0.5000 1
O2 O 0.5000 0.0000 0.0000 1
O3 O 0.2502 0.1485 0.6485 1
O4 O 0.2502 0.8515 0.3515 1
O5 O 0.2502 0.3515 0.1485 1
O6 O 0.2502 0.6485 0.8515 1
O7 O 0.7498 0.1485 0.6485 1
O8 O 0.7498 0.6485 0.8515 1
O9 O 0.7498 0.8515 0.3515 1
O10 O 0.7498 0.3515 0.1485 1
# raw formation energy = -20.46 eV/f.u.
# volume = 240.9 Å³/cell